The following is a PBE calculation of a relaxed RbBe2VMo crystal, from Alexandria.

Properties
The calculation puts the total DFT energy (no corrections) at -17.3 eV/cell.

```
RbBe2VMo
1.0
4.550 0.000 0.000
0.000 4.550 0.000
0.000 0.000 5.040
Rb Be V Mo
1 2 1 1
Direct
0.000 0.000 0.000
0.000 0.500 0.500
0.500 0.000 0.500
0.000 0.000 0.500
0.500 0.500 0.000
```

=====

The following is a PBE calculation of a relaxed Sm4RuRh crystal, from Alexandria.

Properties
The calculation puts the total DFT energy (no corrections) at -75.9 eV/cell. The distance to the lowest polymorph of the same formula is 0.0103 eV per atom.

```
Sm4RuRh
1.0
4.523 -6.722 0.000
4.523 6.722 0.000
-3.596 0.000 5.209
Sm Ru Rh
8 2 2
Direct
0.041 0.683 0.893
0.243 0.374 0.740
0.317 0.959 0.607
0.374 0.243 0.240
0.626 0.757 0.760
0.683 0.041 0.393
0.757 0.626 0.260
0.959 0.317 0.107
0.364 0.636 0.250
0.636 0.364 0.750
0.002 0.998 0.250
0.998 0.002 0.750
```

=====

The following is a PBE calculation of a relaxed Nd2Sm2DyY6 crystal, from Alexandria.

Properties
The calculation puts the total DFT energy (no corrections) at -60.8 eV/cell.

```
Nd2Sm2DyY6
1.0
2.858 -6.066 0.000
2.858 6.066 0.000
0.000 0.000 10.618
Nd Sm Dy Y
2 2 1 6
Direct
0.131 0.869 0.000
0.869 0.131 0.000
0.209 0.791 0.500
0.791 0.209 0.500
0.500 0.500 0.500
0.000 0.000 0.298
0.000 0.000 0.702
0.348 0.652 0.205
0.348 0.652 0.795
0.652 0.348 0.205
0.652 0.348 0.795
```

=====

The following is a PBE calculation of a relaxed Y4Te3Ir crystal, from Alexandria.

Properties
The calculation puts the total DFT energy (no corrections) at -53.8 eV/cell. Its uncorrected formation energy is -1207 meV/atom.

```
Y4Te3Ir
1.0
4.434 -6.156 0.000
4.434 6.156 0.000
0.000 0.000 4.222
Y Te Ir
4 3 1
Direct
0.210 0.210 0.500
0.228 0.772 0.000
0.772 0.228 0.000
0.790 0.790 0.500
0.000 0.500 0.500
0.500 0.000 0.500
0.500 0.500 0.000
0.000 0.000 0.000
```

=====

The following is a PBE calculation of a relaxed HgW5 crystal, from Alexandria.

Properties
The calculation puts the total DFT energy (no corrections) at -61.5 eV/cell. The distance to the lowest polymorph of the same formula is 0.0000 eV per atom.

```
HgW5
1.0
0.000 3.741 3.741
3.741 0.000 3.741
3.741 3.741 0.000
Hg W
1 5
Direct
0.000 0.000 0.000
0.374 0.374 0.374
0.374 0.374 0.877
0.374 0.877 0.374
0.750 0.750 0.750
0.877 0.374 0.374
```

=====

The following is a PBE calculation of a relaxed TbGa4NiPd2 crystal, from Alexandria.

Properties
The calculation puts the total DFT energy (no corrections) at -37.6 eV/cell.

```
TbGa4NiPd2
1.0
2.125 1.227 8.600
-2.125 1.227 8.600
0.000 -2.454 8.600
Tb Ga Ni Pd
1 4 1 2
Direct
0.000 0.000 0.000
0.135 0.135 0.135
0.400 0.400 0.400
0.600 0.600 0.600
0.865 0.865 0.865
0.500 0.500 0.500
0.239 0.239 0.239
0.761 0.761 0.761
```

=====

The following is a PBE calculation of a relaxed Sr2SbPt crystal, from Alexandria.

Properties
The calculation puts the total DFT energy (no corrections) at -16.3 eV/cell. Its uncorrected formation energy is -682 meV/atom.

```
Sr2SbPt
1.0
2.161 1.248 8.213
-2.161 1.248 8.213
0.000 -2.495 8.213
Sr Sb Pt
2 1 1
Direct
0.240 0.240 0.240
0.760 0.760 0.760
0.000 0.000 0.000
0.500 0.500 0.500
```

=====

The following is a PBE calculation of a relaxed TmZnNi3Ge crystal, from Alexandria.

Properties
The calculation puts the total DFT energy (no corrections) at -58.6 eV/cell.

```
TmZnNi3Ge
1.0
3.031 -5.742 0.000
3.031 5.742 0.000
0.000 0.000 5.364
Tm Zn Ni Ge
2 2 6 2
Direct
0.204 0.796 0.750
0.796 0.204 0.250
0.443 0.557 0.750
0.557 0.443 0.250
0.199 0.199 0.000
0.199 0.199 0.500
0.343 0.657 0.250
0.657 0.343 0.750
0.801 0.801 0.000
0.801 0.801 0.500
0.139 0.861 0.250
0.861 0.139 0.750
```

=====

| no. | V (Å³/atom) | theoretical density (g cm⁻³) | total magnetization (μB per formula unit) |
| --- | --- | --- | --- |
| 1 | 20.87 | 4.0 | 1.6 |
| 2 | 26.40 | 8.4 | 0.0 |
| 3 | 33.47 | 5.8 | 0.0 |
| 4 | 28.81 | 6.7 | 0.0 |
| 5 | 17.45 | 17.8 | 0.0 |
| 6 | 16.82 | 8.8 | 0.0 |
| 7 | 33.22 | 6.1 | 0.0 |
| 8 | 15.56 | 8.6 | 0.0 |